[1]
4
Lattice="-1.388 2.137 -2.263 -2.280 0.989 2.333 5.740 6.675 2.781" Properties=species:S:1:pos:R:3 comment="Er2MgZr PBE relaxed" space_group="P4/mmm (123)" magnetic_moment_mub_per_cell=0.00 relative_energy_mev_per_atom=0 pbc="T T T"
Zr 1.036 4.901 1.425
Mg -1.834 1.563 0.035
Er 1.469 1.708 0.712
Er 4.272 4.967 2.070

=====

[2]
12
Lattice="-4.881 4.234 3.136 0.885 -6.840 2.007 6.267 3.095 1.653" Properties=species:S:1:pos:R:3 comment="Zr4FeOs PBE relaxed" space_group="I4_1md (109)" magnetic_moment_mub_per_cell=0.00 relative_energy_mev_per_atom=46 pbc="T T T"
Fe -3.132 -2.042 4.032
Fe 0.558 3.576 2.569
Zr -1.997 3.897 2.817
Zr 1.058 5.597 3.659
Zr 4.002 0.370 3.291
Zr 3.969 -3.250 3.824
Zr 1.190 -1.795 2.402
Zr 1.383 2.128 4.547
Zr -1.726 0.123 3.500
Zr 0.326 1.731 1.133
Os -0.865 -0.564 1.114
Os -1.171 2.449 4.794

=====

[3]
12
Lattice="5.243 0.000 0.000 0.000 6.588 0.000 0.000 0.000 6.588" Properties=species:S:1:pos:R:3 comment="Hf4GaNi PBE relaxed" space_group="P4/mcc (124)" magnetic_moment_mub_per_cell=0.00 pbc="T T T"
Hf 2.622 4.285 1.103
Hf 0.000 5.484 2.303
Hf 2.622 5.484 4.285
Hf 0.000 1.103 4.285
Hf 2.622 2.303 5.484
Hf 0.000 2.303 1.103
Hf 2.622 1.103 2.303
Hf 0.000 4.285 5.484
Ga 3.932 0.000 0.000
Ga 1.311 0.000 0.000
Ni 1.311 3.294 3.294
Ni 3.932 3.294 3.294

=====

[4]
8
Lattice="-0.311 1.376 -3.888 0.910 -3.780 -1.410 -8.989 -3.422 -2.692" Properties=species:S:1:pos:R:3 comment="Zn2ReBi PBE relaxed" space_group="I-42d (122)" magnetic_moment_mub_per_cell=1.58 pbc="T T T"
Bi -4.500 -1.624 -4.614
Bi 0.000 0.000 0.000
Re 0.300 -1.202 -2.649
Re -3.890 -4.202 -3.376
Zn -6.300 -4.327 -6.527
Zn -1.745 -2.921 -2.393
Zn -2.300 -0.593 -2.927
Zn -6.434 -3.811 -4.134

=====

So what do the calculations give for E? Going down the list: -4.84; -8.81; -8.46; -3.96 eV/atom.
So what do the calculations give for formation enthalpy at 0 K? Going down the list: -0.0187; 0.1693; -0.3558; 0.7597 eV per atom.